LiScCoB after structural relaxation, computed with PBE-GGA.

Lattice parameters (Å, degrees): 5.7984 5.7984 5.7984 90.00 90.00 90.00
Space group F-43m (No. 216)
Symmetry-distinct sites (fractional):
Li  0.0000  0.0000  0.0000
Sc  0.0000  0.0000  0.5000
Co  0.2500  0.2500  0.7500
B  0.2500  0.2500  0.2500

**VASP energy**: -84.2 eV/cell
**ΔE to the lowest computed polymorph**: 200.9 meV per atom
**Spin magnetization**: 0.2 Bohr magnetons per cell